SiP2C after structural relaxation. Source: the Alexandria database, functional PBE.

a b c (Å): 3.202 4.644 5.170
angles (deg): 69.19 69.87 67.82
Fractional coordinates of all 4 atoms:
P  0.380  0.426  0.296
P  0.070  0.389  0.991
Si  0.036  0.817  0.587
C  0.455  0.030  0.522

## Properties
Formation energy (no corrections) in eV/f.u.: 1.3
VASP energy in eV per atom: -6.05
Crystal system: triclinic
Offset from the most stable computed form in eV/atom: 0.1226

TiInPd2 after structural relaxation. Source: the Alexandria database, functional PBE.

a b c (Å): 7.224 7.224 5.849
angles (deg): 51.86 51.86 90.00
Fractional coordinates of all 8 atoms:
Ti  0.500  0.500  0.000
Ti  0.250  0.750  0.500
Pd  0.595  0.125  0.250
Pd  0.155  0.625  0.250
Pd  0.375  0.405  0.750
Pd  0.875  0.845  0.750
In  0.000  0.000  0.000
In  0.750  0.250  0.500

## Properties
VASP energy in eV per atom: -5.43
Crystal system: tetragonal
Calculated formation energy in eV per atom: -0.17

Ce3HoS4 after structural relaxation. Source: the Alexandria database, functional PBE.

a b c (Å): 3.978 6.907 6.907
angles (deg): 109.36 90.00 90.00
Fractional coordinates of all 8 atoms:
S  0.000  0.241  0.241
S  0.500  0.755  0.245
S  0.000  0.759  0.759
S  0.500  0.245  0.755
Ho  0.500  0.000  0.000
Ce  0.000  0.000  0.500
Ce  0.500  0.500  0.500
Ce  0.000  0.500  0.000

## Properties
Formation energy (no corrections) in eV/f.u.: -16.3
VASP energy in eV per atom: -6.89
Crystal system: orthorhombic

La8Pr4Tm after structural relaxation. Source: the Alexandria database, functional PBE.

a b c (Å): 11.933 11.933 7.972
angles (deg): 90.00 138.46 120.00
Fractional coordinates of all 13 atoms:
La  0.525  0.763  0.288
La  0.475  0.237  0.712
La  0.340  0.170  0.012
La  0.158  0.328  0.988
La  0.660  0.830  0.988
La  0.158  0.830  0.988
La  0.842  0.170  0.012
La  0.842  0.672  0.012
Pr  0.000  0.000  0.000
Pr  0.000  0.500  0.000
Pr  0.500  0.500  0.000
Pr  0.500  0.000  0.000
Tm  0.000  0.500  0.500

## Properties
VASP energy in eV per atom: -4.50
Crystal system: trigonal
Calculated formation energy in eV per atom: 0.35

Cs2MgVCl after structural relaxation. Source: the Alexandria database, functional PBE.

a b c (Å): 7.562 5.166 7.562
angles (deg): 90.00 90.00 90.00
Fractional coordinates of all 5 atoms:
Cs  0.000  0.000  0.500
Cs  0.500  0.000  0.000
Mg  0.000  0.000  0.000
Cl  0.000  0.500  0.000
V  0.500  0.500  0.500

## Properties
Formation energy (no corrections) in eV/f.u.: 2.4
VASP energy in eV per atom: -2.37
Crystal system: tetragonal

Sm2SiO after structural relaxation. Source: the Alexandria database, functional PBE.

a b c (Å): 3.814 3.814 6.855
angles (deg): 73.85 73.85 60.00
Fractional coordinates of all 4 atoms:
Si  0.500  0.500  0.500
O  0.000  0.000  0.000
Sm  0.739  0.739  0.784
Sm  0.261  0.261  0.216

## Properties
Formation energy (no corrections) in eV/f.u.: -6.3
VASP energy in eV per atom: -6.53
Crystal system: trigonal